# 1
# AcCd2PdAu2

An optimized crystal structure of AcCd2PdAu2 (PBE, the Alexandria database).

- raw total energy (eV per atom) = -3.05
- space group = I4/mmm (139)

```
AcCd2PdAu2
1.0
5.350 0.000 0.000
0.000 5.350 0.000
-2.675 -2.675 5.803
Cd Pd Au Ac
2 1 2 1
direct
0.250 0.750 0.500
0.750 0.250 0.500
0.000 0.000 0.000
0.772 0.772 0.544
0.228 0.228 0.456
0.500 0.500 0.000
```

# 2
# LiLa2Sc

An optimized crystal structure of LiLa2Sc (PBE, the Alexandria database).

- raw total energy (eV per atom) = -4.43
- space group = Cmmm (65)
- polymorph energy (0 for the lowest one) (kJ/mol of atoms) = 0.48

```
LiLa2Sc
1.0
8.844 0.230 0.738
-3.806 4.263 0.082
1.231 1.034 3.312
La Li Sc
2 1 1
direct
0.500 0.000 0.500
0.000 0.000 0.000
0.000 0.500 0.500
0.500 0.500 0.000
```

| no. | calculated density (kg/m3) | ΔH_f (0 K) (eV per atom) |
| --- | --- | --- |
| 1 | 9520 | -0.1040 |
| 2 | 4552 | 0.0928 |